Record 1
# Ba2AlS

A geometry-optimized Ba2AlS structure (PBE, Alexandria via LeMat-Bulk).

a b c (Å): 7.6108 7.6108 7.6108
angles (deg): 111.17 111.17 106.13
Closest atoms and distances in Å follow each position.
Atoms (fractional coordinates):
Ba 0.0806 0.6250 0.9556  2 S 3.01
Ba 0.3750 0.3306 0.4556  2 S 3.01
Ba 0.6694 0.1250 0.0444  2 S 3.01
Ba 0.8750 0.9194 0.5444  2 S 3.01
Al 0.2500 0.7500 0.5000  4 Ba 3.51
Al 0.5000 0.5000 0.0000  4 Ba 3.51
S 0.0000 0.0000 0.0000  4 Ba 3.01
S 0.7500 0.2500 0.5000  4 Ba 3.01

Computed properties:
Space-group type = No. 122
Formation energy (no corrections) = -2.605 eV/f.u.
E_tot = -3.580 eV/atom
Size of the total moment = 0.0 μB per formula unit

Record 2
# Nd12Tm7Th

A geometry-optimized Nd12Tm7Th structure (PBE, Alexandria via LeMat-Bulk).

a b c (Å): 8.7740 8.7740 8.7740
angles (deg): 89.73 89.73 89.73
Closest atoms and distances in Å follow each position.
Atoms (fractional coordinates):
Nd 0.0009 0.8786 0.3541  4 Nd 3.22-3.52, 2 Tm 3.28-3.56
Nd 0.1214 0.6459 0.9991  4 Nd 3.22-3.52, 2 Tm 3.28-3.56
Nd 0.2250 0.7665 0.6295  3 Nd 3.22-3.52, 1 Th 3.54, 1 Tm 3.57
Nd 0.2335 0.3705 0.7750  3 Nd 3.22-3.52, 1 Th 3.54, 1 Tm 3.57
Nd 0.3541 0.0009 0.8786  4 Nd 3.22-3.52, 2 Tm 3.28-3.56
Nd 0.3705 0.7750 0.2335  3 Nd 3.22-3.52, 1 Th 3.54, 1 Tm 3.57
Nd 0.6295 0.2250 0.7665  3 Nd 3.22-3.52, 1 Th 3.54, 1 Tm 3.57
Nd 0.6459 0.9991 0.1214  4 Nd 3.22-3.52, 2 Tm 3.28-3.56
Nd 0.7665 0.6295 0.2250  3 Nd 3.22-3.52, 1 Th 3.54, 1 Tm 3.57
Nd 0.7750 0.2335 0.3705  3 Nd 3.22-3.52, 1 Th 3.54, 1 Tm 3.57
Nd 0.8786 0.3541 0.0009  4 Nd 3.22-3.52, 2 Tm 3.28-3.56
Nd 0.9991 0.1214 0.6459  4 Nd 3.22-3.52, 2 Tm 3.28-3.56
Tm 0.0000 0.0000 0.0000  6 Nd 3.28
Tm 0.1227 0.4430 0.3513  3 Tm 3.52-3.54, 7 Nd 3.56-3.90, 1 Th 3.60
Tm 0.3513 0.1227 0.4430  3 Tm 3.52-3.54, 7 Nd 3.56-3.90, 1 Th 3.60
Tm 0.4430 0.3513 0.1227  3 Tm 3.52-3.54, 7 Nd 3.56-3.90, 1 Th 3.60
Tm 0.5570 0.6487 0.8773  3 Tm 3.52-3.54, 7 Nd 3.56-3.90, 1 Th 3.60
Tm 0.6487 0.8773 0.5570  3 Tm 3.52-3.54, 7 Nd 3.56-3.90, 1 Th 3.60
Tm 0.8773 0.5570 0.6487  3 Tm 3.52-3.54, 7 Nd 3.56-3.90, 1 Th 3.60
Th 0.5000 0.5000 0.5000  6 Nd 3.54, 6 Tm 3.60

Computed properties:
DFT formation energy = 0.226 eV/atom
Space-group type = No. 148
E_tot = -4.571 eV/atom
Size of the total moment = 0.0 μB per formula unit

Record 3
# Ac2Zn15Au2

A geometry-optimized Ac2Zn15Au2 structure (PBE, Alexandria via LeMat-Bulk).

a b c (Å): 7.0366 7.0366 7.0366
angles (deg): 82.55 82.55 82.55
Closest atoms and distances in Å follow each position.
Atoms (fractional coordinates):
Ac 0.1587 0.1587 0.1587  1 Au 3.18, 15 Zn 3.34-3.53
Ac 0.8413 0.8413 0.8413  1 Au 3.18, 15 Zn 3.34-3.53
Zn 0.0000 0.5000 0.5000  8 Zn 2.66-2.70, 2 Au 2.79
Zn 0.1546 0.1546 0.6609  8 Zn 2.66-2.93, 1 Au 2.87
Zn 0.1546 0.6609 0.1546  8 Zn 2.66-2.93, 1 Au 2.87
Zn 0.2159 0.5000 0.7841  8 Zn 2.64-2.93
Zn 0.2159 0.7841 0.5000  8 Zn 2.64-2.93
Zn 0.3391 0.8454 0.8454  8 Zn 2.66-2.93, 1 Au 2.87
Zn 0.5000 0.0000 0.5000  8 Zn 2.66-2.70, 2 Au 2.79
Zn 0.5000 0.2159 0.7841  8 Zn 2.64-2.93
Zn 0.5000 0.5000 0.0000  8 Zn 2.66-2.70, 2 Au 2.79
Zn 0.5000 0.7841 0.2159  8 Zn 2.64-2.93
Zn 0.6609 0.1546 0.1546  8 Zn 2.66-2.93, 1 Au 2.87
Zn 0.7841 0.2159 0.5000  8 Zn 2.64-2.93
Zn 0.7841 0.5000 0.2159  8 Zn 2.64-2.93
Zn 0.8454 0.3391 0.8454  8 Zn 2.66-2.93, 1 Au 2.87
Zn 0.8454 0.8454 0.3391  8 Zn 2.66-2.93, 1 Au 2.87
Au 0.3914 0.3914 0.3914  12 Zn 2.79-3.03, 1 Au 2.97
Au 0.6086 0.6086 0.6086  12 Zn 2.79-3.03, 1 Au 2.97

Computed properties:
DFT formation energy = -0.276 eV/atom
Space-group type = No. 166
E_tot = -2.059 eV/atom
Size of the total moment = 0.0 μB per formula unit

Record 4
# Zr2NiP2

A geometry-optimized Zr2NiP2 structure (PBE, Alexandria via LeMat-Bulk).

a b c (Å): 3.7809 3.7809 13.1251
angles (deg): 90.00 90.00 120.00
Closest atoms and distances in Å follow each position.
Atoms (fractional coordinates):
Zr 0.3333 0.6667 0.1094  6 P 2.61-2.86, 3 Ni 2.86
Zr 0.3333 0.6667 0.3906  6 P 2.61-2.86, 3 Ni 2.86
Zr 0.6667 0.3333 0.6094  6 P 2.61-2.86, 3 Ni 2.86
Zr 0.6667 0.3333 0.8906  6 P 2.61-2.86, 3 Ni 2.86
Ni 0.0000 0.0000 0.2500  3 P 2.18
Ni 0.0000 0.0000 0.7500  3 P 2.18
P 0.0000 0.0000 0.0000  6 Zr 2.61
P 0.0000 0.0000 0.5000  6 Zr 2.61
P 0.3333 0.6667 0.7500  3 Ni 2.18
P 0.6667 0.3333 0.2500  3 Ni 2.18

Computed properties:
DFT formation energy = -1.285 eV/atom
Space-group type = No. 194
E_tot = -8.025 eV/atom
Size of the total moment = 0.0 μB per formula unit

Record 5
# Ac5NdAg6

A geometry-optimized Ac5NdAg6 structure (PBE, Alexandria via LeMat-Bulk).

a b c (Å): 5.5863 7.7921 8.8168
angles (deg): 90.00 108.23 90.00
Closest atoms and distances in Å follow each position.
Atoms (fractional coordinates):
Ac 0.0000 0.0000 0.0000  8 Ag 3.37-3.46
Ac 0.3328 0.0000 0.6655  8 Ag 3.43-3.48
Ac 0.3339 0.5000 0.6679  8 Ag 3.34-3.45
Ac 0.6661 0.5000 0.3321  8 Ag 3.34-3.45
Ac 0.6672 0.0000 0.3345  8 Ag 3.43-3.48
Nd 0.0000 0.5000 0.0000  8 Ag 3.32-3.35
Ag 0.1620 0.2555 0.3241  1 Nd 3.32, 7 Ac 3.37-3.48
Ag 0.1620 0.7445 0.3241  1 Nd 3.32, 7 Ac 3.37-3.48
Ag 0.5000 0.2621 0.0000  6 Ac 3.34-3.47, 2 Nd 3.35, 1 Ag 3.71
Ag 0.5000 0.7379 0.0000  6 Ac 3.34-3.47, 2 Nd 3.35, 1 Ag 3.71
Ag 0.8380 0.2555 0.6759  1 Nd 3.32, 7 Ac 3.37-3.48
Ag 0.8380 0.7445 0.6759  1 Nd 3.32, 7 Ac 3.37-3.48

Computed properties:
DFT formation energy = -0.253 eV/atom
Space-group type = No. 10
E_tot = -3.788 eV/atom
Size of the total moment = 0.0 μB per formula unit

Record 6
# NpScFe4

A geometry-optimized NpScFe4 structure (PBE, Alexandria via LeMat-Bulk).

a b c (Å): 4.9804 4.9804 4.9804
angles (deg): 60.00 60.00 60.00
Closest atoms and distances in Å follow each position.
Atoms (fractional coordinates):
Np 0.0000 0.0000 0.0000  12 Fe 2.92, 4 Sc 3.05
Sc 0.7500 0.7500 0.7500  12 Fe 2.92, 4 Np 3.05
Fe 0.3755 0.3755 0.3755  6 Fe 2.48-2.50
Fe 0.3755 0.3755 0.8735  6 Fe 2.48-2.50
Fe 0.3755 0.8735 0.3755  6 Fe 2.48-2.50
Fe 0.8735 0.3755 0.3755  6 Fe 2.48-2.50

Computed properties:
DFT formation energy = -0.066 eV/atom
Space-group type = No. 216
E_tot = -8.920 eV/atom
Size of the total moment = 3.0 μB per formula unit

Number 2 is which compound?
Nd12Tm7Th

What is the formula in the sixth record?
NpScFe4